[1]
A relaxed structure of AgIrOs2. Source: the Alexandria database, functional GGA-PBEsol.

The structure in POSCAR format:
```
AgIrOs2
1.0
2.695 0.000 0.000
0.000 3.927 0.000
0.000 0.000 5.482
Ag Ir Os
1 1 2
direct
0.000 0.000 0.000
0.000 0.000 0.500
0.500 0.500 0.264
0.500 0.500 0.736
```

Properties
The excess energy over the best structure of this formula in the dataset is 113 meV/atom. The mass density comes out at 19.48 g/cm3. As for the formation energy: 51.1 kJ/mol of atoms. As for the space-group type: No. 47.

---

[2]
A relaxed structure of Be2RuRh. Source: the Alexandria database, functional GGA-PBEsol.

The structure in POSCAR format:
```
Be2RuRh
1.0
3.911 0.000 0.000
0.000 3.911 0.000
0.000 0.000 2.731
Be Ru Rh
2 1 1
direct
0.000 0.500 0.000
0.500 0.000 0.000
0.000 0.000 0.500
0.500 0.500 0.500
```

Properties
The mass density comes out at 8.83 g/cm3. As for the formation energy: -35.0 kJ/mol of atoms. As for the space-group type: No. 123.

---

[3]
A relaxed structure of Zr3RuBr. Source: the Alexandria database, functional GGA-PBEsol.

The structure in POSCAR format:
```
Zr3RuBr
1.0
4.992 0.000 0.000
0.000 4.992 0.000
0.000 0.000 4.992
Zr Ru Br
3 1 1
direct
0.000 0.000 0.500
0.000 0.500 0.000
0.500 0.000 0.000
0.000 0.000 0.000
0.500 0.500 0.500
```

Properties
The excess energy over the best structure of this formula in the dataset is 0 meV/atom. The mass density comes out at 6.07 g/cm3. As for the space-group type: No. 221. The raw formation energy is 300.6 meV/atom.

---

[4]
A relaxed structure of V9Ga4Fe3. Source: the Alexandria database, functional GGA-PBEsol.

The structure in POSCAR format:
```
V9Ga4Fe3
1.0
4.624 0.000 0.000
0.000 4.598 0.000
-0.042 0.000 9.288
V Ga Fe
9 4 3
direct
0.000 0.000 0.000
0.002 0.000 0.505
0.238 0.500 0.880
0.249 0.500 0.380
0.493 0.250 0.126
0.493 0.750 0.126
0.499 0.250 0.630
0.499 0.750 0.630
0.749 0.500 0.379
0.499 0.000 0.377
0.503 0.000 0.877
0.994 0.500 0.128
0.996 0.500 0.633
0.743 0.500 0.881
0.998 0.000 0.754
0.999 0.000 0.252
```

Properties
The mass density comes out at 7.61 g/cm3. As for the formation energy: -26.1 kJ/mol of atoms. As for the space-group type: No. 6.